Record 1
## TbZnIr (PBE)

Data for TbZnIr after structural relaxation.

```
6
Lattice="5.073 -2.095 0.000 5.073 2.095 0.000 -4.221 0.000 5.587" Properties=species:S:1:pos:R:3 pbc="T T T"
Tb -0.702 0.000 1.777
Tb 6.626 0.000 3.810
Zn -0.525 0.000 5.109
Zn 6.449 0.000 0.478
Ir 2.192 0.000 1.721
Ir 3.732 0.000 3.866
```

Output
symmetry: C2/m, No. 12

---

Record 2
## Hg2RuRh (PBE)

Data for Hg2RuRh after structural relaxation.

```
4
Lattice="2.914 0.000 0.000 0.000 2.914 0.000 0.000 0.000 8.452" Properties=species:S:1:pos:R:3 pbc="T T T"
Hg 0.000 0.000 0.000
Hg 1.457 1.457 2.624
Ru 1.457 1.457 6.336
Rh 0.000 0.000 4.738
```

Output
symmetry: P4mm, No. 99
ΔE to the lowest computed polymorph: 0 meV per atom

---

Record 3
## Tm8Ni2Au (PBE)

Data for Tm8Ni2Au after structural relaxation.

```
11
Lattice="4.136 -6.372 0.000 4.136 6.372 0.000 -1.529 0.000 5.272" Properties=species:S:1:pos:R:3 pbc="T T T"
Tm 0.000 0.000 0.000
Tm 0.468 1.655 3.156
Tm 2.804 2.959 0.978
Tm 0.468 -1.655 3.156
Tm 3.605 1.652 4.101
Tm 2.804 -2.959 0.978
Tm 3.605 -1.652 4.101
Tm 5.626 0.000 1.965
Ni 2.043 3.878 3.615
Ni 2.043 -3.878 3.615
Au 2.949 0.000 0.550
```

Output
symmetry: Cm, No. 8
ΔE to the lowest computed polymorph: 89 meV per atom

---

Record 4
## TaTcAu2 (PBE)

Data for TaTcAu2 after structural relaxation.

```
4
Lattice="2.842 0.000 0.000 0.000 2.842 0.000 0.000 0.000 8.482" Properties=species:S:1:pos:R:3 pbc="T T T"
Ta 0.000 0.000 0.000
Tc 1.421 1.421 2.003
Au 0.000 0.000 4.064
Au 1.421 1.421 6.355
```

Output
symmetry: P4mm, No. 99
ΔE to the lowest computed polymorph: 133 meV per atom

---

For reference, size of the total moment by record: 0.0 0.0 0.0 0.5 μB/f.u..
For reference, E_form by record: -0.623 0.261 -0.238 0.096 eV/atom.
For reference, raw total energy by record: -5.54 -4.05 -4.84 -7.10 eV/atom.